#P
VASP calculation (GGA-PBE) on a geometry-optimized InSeBr2 structure.

Unit cell a=6.0004 b=6.0004 c=6.0004 alpha=145.19 beta=111.82 gamma=78.89
With the nearest neighbours (Å) after each atom.
Element x y z (fractional)
Br1 0.0023 0.0023 0.0000  2 Se 2.91, 2 In 2.95
Br2 0.4977 0.4977 0.0000  2 Se 2.91, 2 In 2.95
In1 0.7500 0.2500 0.5000  4 Br 2.95
Se1 0.2500 0.7500 0.5000  4 Br 2.91

Values from the calculation:
M_tot (μB per atom): 0.000
Theoretical density (kg/m³): 5248

#Q
VASP calculation (GGA-PBE) on a geometry-optimized InSeBr2 structure.

Unit cell a=5.5902 b=5.4929 c=5.4973 alpha=53.48 beta=90.00 gamma=90.00
With the nearest neighbours (Å) after each atom.
Element x y z (fractional)
Br1 0.0000 0.9616 0.9628  2 In 2.94
Br2 0.5000 0.2448 0.2431  2 Se 2.58
In1 0.0000 0.6237 0.6250  2 Se 2.83, 2 Br 2.94
Se1 0.5000 0.6699 0.6691  2 Br 2.58, 2 In 2.83

Values from the calculation:
M_tot (μB per atom): 0.000
Theoretical density (kg/m³): 4328

#R
VASP calculation (GGA-PBE) on a geometry-optimized InSeBr2 structure.

Unit cell a=5.4512 b=5.4512 c=5.4512 alpha=60.00 beta=60.00 gamma=60.00
With the nearest neighbours (Å) after each atom.
Element x y z (fractional)
Se1 0.0000 0.0000 0.0000  8 Br 3.34
Br1 0.2500 0.2500 0.2500  4 In 3.34, 4 Se 3.34
Br2 0.7500 0.7500 0.7500  4 Se 3.34, 4 In 3.34
In1 0.5000 0.5000 0.5000  8 Br 3.34

Values from the calculation:
M_tot (μB per atom): 0.649
Theoretical density (kg/m³): 5126

Which structure above is the least stable? It is #R.